A relaxed structure of InAsIrO. Source: OQMD, functional GGA-PBE.

a = 4.017 Å, b = 4.017 Å, c = 8.623 Å
α = 90.00°, β = 90.00°, γ = 90.00°
Atoms (fractional coordinates):
As 0.750 0.750 0.332
As 0.250 0.250 0.668
In 0.250 0.250 0.113
In 0.750 0.750 0.887
Ir 0.750 0.250 0.500
Ir 0.250 0.750 0.500
O 0.750 0.250 0.000
O 0.250 0.750 0.000

Values from the calculation:
**Space-group type**: No. 129
**DFT total energy**: -5.88 eV per atom
**Offset from the most stable computed form**: 0.0 meV/atom



A relaxed structure of Y4ZnCdC2. Source: OQMD, functional GGA-PBE.

a = 3.614 Å, b = 3.614 Å, c = 15.612 Å
α = 90.00°, β = 90.00°, γ = 120.00°
Atoms (fractional coordinates):
C 0.333 0.667 0.257
C 0.333 0.667 0.743
Cd 0.000 0.000 0.000
Y 0.667 0.333 0.172
Y 0.000 0.000 0.345
Y 0.000 0.000 0.655
Y 0.667 0.333 0.828
Zn 0.667 0.333 0.500

Values from the calculation:
**Space-group type**: No. 187
**DFT total energy**: -6.07 eV per atom



What is the formula in the second record? Y4ZnCdC2



Repeat the second record exactly.
A relaxed structure of Y4ZnCdC2. Source: OQMD, functional GGA-PBE.

a = 3.614 Å, b = 3.614 Å, c = 15.612 Å
α = 90.00°, β = 90.00°, γ = 120.00°
Atoms (fractional coordinates):
C 0.333 0.667 0.257
C 0.333 0.667 0.743
Cd 0.000 0.000 0.000
Y 0.667 0.333 0.172
Y 0.000 0.000 0.345
Y 0.000 0.000 0.655
Y 0.667 0.333 0.828
Zn 0.667 0.333 0.500

Values from the calculation:
**Space-group type**: No. 187
**DFT total energy**: -6.07 eV per atom



Please write out number 1 again, unchanged.
A relaxed structure of InAsIrO. Source: OQMD, functional GGA-PBE.

a = 4.017 Å, b = 4.017 Å, c = 8.623 Å
α = 90.00°, β = 90.00°, γ = 90.00°
Atoms (fractional coordinates):
As 0.750 0.750 0.332
As 0.250 0.250 0.668
In 0.250 0.250 0.113
In 0.750 0.750 0.887
Ir 0.750 0.250 0.500
Ir 0.250 0.750 0.500
O 0.750 0.250 0.000
O 0.250 0.750 0.000

Values from the calculation:
**Space-group type**: No. 129
**DFT total energy**: -5.88 eV per atom
**Offset from the most stable computed form**: 0.0 meV/atom